Record 1
Below is a relaxed structure of YAgRu, with properties calculated at the GGA-PBE level.

abc: 3.5115 3.5115 9.5916
angles: 90.00 90.00 90.00
Closest atoms and distances in Å follow each position.
Atoms (fractional coordinates):
Y1 0.0000 0.0000 0.0000  4 Ru 2.91, 5 Ag 2.98-3.08
Y2 0.5000 0.5000 0.5000  4 Ru 2.91, 5 Ag 2.98-3.08
Ag1 0.0000 0.0000 0.3107  4 Ru 2.88, 5 Y 2.98-3.08
Ag2 0.5000 0.5000 0.8107  4 Ru 2.88, 5 Y 2.98-3.08
Ru1 0.0000 0.0000 0.6582  4 Ag 2.88, 4 Y 2.91
Ru2 0.5000 0.5000 0.1582  4 Ag 2.88, 4 Y 2.91

## Properties
Fermi-level density of states, states/eV/atom: 0.933
Space group: I4mm (107)
Polymorph energy (0 for the lowest one), meV/atom: 0
Total magnetization, μB per cell: 0.000

***

Record 2
Below is a relaxed structure of YAgRu2, with properties calculated at the GGA-PBE level.

abc: 2.9210 4.1669 5.9726
angles: 90.00 90.00 90.00
Closest atoms and distances in Å follow each position.
Atoms (fractional coordinates):
Y1 0.0000 0.0000 0.0000  2 Y 2.92, 2 Ag 2.99, 8 Ru 3.08
Ag1 0.0000 0.0000 0.5000  8 Ru 2.83, 2 Ag 2.92, 2 Y 2.99
Ru1 0.5000 0.5000 0.2911  1 Ru 2.50
Ru2 0.5000 0.5000 0.7089  1 Ru 2.50

## Properties
Fermi-level density of states, states/eV/atom: 1.320
Space group: Pmmm (47)
Polymorph energy (0 for the lowest one), meV/atom: 233
Total magnetization, μB per cell: 0.000

***

Record 3
Below is a relaxed structure of YAgRu3, with properties calculated at the GGA-PBE level.

abc: 4.8246 4.8246 4.8246
angles: 90.00 90.00 90.00
Closest atoms and distances in Å follow each position.
Atoms (fractional coordinates):
Y1 0.0000 0.0000 0.0000  12 Ru 3.41
Ag1 0.5000 0.5000 0.5000  6 Ru 2.41
Ru1 0.0000 0.5000 0.5000  2 Ag 2.41
Ru2 0.5000 0.0000 0.5000  2 Ag 2.41
Ru3 0.5000 0.5000 0.0000  2 Ag 2.41

## Properties
Fermi-level density of states, states/eV/atom: 1.606
Space group: Pm-3m (221)
Polymorph energy (0 for the lowest one), meV/atom: 0
Total magnetization, μB per cell: 4.633

***

Record 4
Below is a relaxed structure of YAg3Ru, with properties calculated at the GGA-PBE level.

abc: 4.9802 4.9802 4.9802
angles: 90.00 90.00 90.00
Closest atoms and distances in Å follow each position.
Atoms (fractional coordinates):
Y1 0.0000 0.0000 0.0000  12 Ag 3.52
Ag1 0.0000 0.5000 0.5000  2 Ru 2.49
Ag2 0.5000 0.0000 0.5000  2 Ru 2.49
Ag3 0.5000 0.5000 0.0000  2 Ru 2.49
Ru1 0.5000 0.5000 0.5000  6 Ag 2.49

## Properties
Fermi-level density of states, states/eV/atom: 0.857
Space group: Pm-3m (221)
Polymorph energy (0 for the lowest one), meV/atom: 0
Total magnetization, μB per cell: 0.029

***

Record 5
Below is a relaxed structure of YAgRu2, with properties calculated at the GGA-PBE level.

abc: 4.2386 4.2386 7.9146
angles: 90.00 90.00 90.00
Closest atoms and distances in Å follow each position.
Atoms (fractional coordinates):
Y1 0.0000 0.0000 0.0000  8 Ru 2.90-3.00, 4 Ag 2.90
Y2 0.5000 0.5000 0.5000  8 Ru 2.90-3.00, 4 Ag 2.90
Ag1 0.0000 0.5000 0.7500  8 Ru 2.90-3.00, 4 Y 2.90
Ag2 0.5000 0.0000 0.2500  8 Ru 2.90-3.00, 4 Y 2.90
Ru1 0.0000 0.0000 0.5000  4 Ru 2.90, 4 Ag 2.90, 4 Y 3.00
Ru2 0.0000 0.5000 0.2500  4 Ru 2.90, 4 Y 2.90, 4 Ag 3.00
Ru3 0.5000 0.0000 0.7500  4 Ru 2.90, 4 Y 2.90, 4 Ag 3.00
Ru4 0.5000 0.5000 0.0000  4 Ru 2.90, 4 Ag 2.90, 4 Y 3.00

## Properties
Fermi-level density of states, states/eV/atom: 1.256
Space group: I-4m2 (119)
Polymorph energy (0 for the lowest one), meV/atom: 84
Total magnetization, μB per cell: 2.821

***

Record 6
Below is a relaxed structure of YAgRu, with properties calculated at the GGA-PBE level.

abc: 3.2733 3.2733 6.7091
angles: 90.00 90.00 120.00
Closest atoms and distances in Å follow each position.
Atoms (fractional coordinates):
Y1 0.0000 0.0000 0.0000  3 Ru 2.73
Ag1 0.6667 0.3333 0.3824  3 Ru 2.88, 3 Y 3.19
Ru1 0.3333 0.6667 0.7057  3 Y 2.73, 3 Ag 2.88

## Properties
Fermi-level density of states, states/eV/atom: 0.813
Space group: P3m1 (156)
Polymorph energy (0 for the lowest one), meV/atom: 316
Total magnetization, μB per cell: 0.000

***

Record 7
Below is a relaxed structure of Y4AgRu, with properties calculated at the GGA-PBE level.

abc: 6.0397 6.0397 6.0397
angles: 60.00 60.00 60.00
Closest atoms and distances in Å follow each position.
Atoms (fractional coordinates):
Y1 0.3761 0.3761 0.3761  6 Y 2.99-3.05
Y2 0.3761 0.3761 0.8717  6 Y 2.99-3.05
Y3 0.3761 0.8717 0.3761  6 Y 2.99-3.05
Y4 0.8717 0.3761 0.3761  6 Y 2.99-3.05
Ag1 0.0000 0.0000 0.0000  12 Y 3.54, 4 Ru 3.70
Ru1 0.7500 0.7500 0.7500  12 Y 3.54, 4 Ag 3.70

## Properties
Fermi-level density of states, states/eV/atom: 1.354
Space group: F-43m (216)
Polymorph energy (0 for the lowest one), meV/atom: 1057
Total magnetization, μB per cell: 1.187

***

Record 8
Below is a relaxed structure of YAg2Ru, with properties calculated at the GGA-PBE level.

abc: 6.7576 6.7576 6.7576
angles: 90.00 90.00 90.00
Closest atoms and distances in Å follow each position.
Atoms (fractional coordinates):
Y1 0.0000 0.0000 0.0000  8 Ag 2.93
Y2 0.0000 0.5000 0.5000  8 Ag 2.93
Y3 0.5000 0.0000 0.5000  8 Ag 2.93
Y4 0.5000 0.5000 0.0000  8 Ag 2.93
Ag1 0.2500 0.2500 0.2500  4 Ru 2.93, 4 Y 2.93
Ag2 0.2500 0.2500 0.7500  4 Ru 2.93, 4 Y 2.93
Ag3 0.2500 0.7500 0.2500  4 Ru 2.93, 4 Y 2.93
Ag4 0.2500 0.7500 0.7500  4 Ru 2.93, 4 Y 2.93
Ag5 0.7500 0.2500 0.2500  4 Ru 2.93, 4 Y 2.93
Ag6 0.7500 0.2500 0.7500  4 Ru 2.93, 4 Y 2.93
Ag7 0.7500 0.7500 0.2500  4 Ru 2.93, 4 Y 2.93
Ag8 0.7500 0.7500 0.7500  4 Y 2.93, 4 Ru 2.93
Ru1 0.0000 0.0000 0.5000  8 Ag 2.93
Ru2 0.0000 0.5000 0.0000  8 Ag 2.93
Ru3 0.5000 0.0000 0.0000  8 Ag 2.93
Ru4 0.5000 0.5000 0.5000  8 Ag 2.93

## Properties
Fermi-level density of states, states/eV/atom: 0.917
Space group: Fm-3m (225)
Polymorph energy (0 for the lowest one), meV/atom: 179
Total magnetization, μB per cell: 0.000

***

Record 9
Below is a relaxed structure of Y5Ag2Ru, with properties calculated at the GGA-PBE level.

abc: 6.9690 11.9657 4.9241
angles: 90.00 90.00 90.00
Closest atoms and distances in Å follow each position.
Atoms (fractional coordinates):
Y1 0.0000 0.0000 0.0000  4 Ag 3.14, 2 Ru 3.48, 6 Y 3.51-3.52
Y2 0.1444 0.2920 0.0000  1 Ru 2.68
Y3 0.1741 0.5900 0.5000  2 Ru 2.95, 2 Ag 3.01-3.11, 1 Y 3.24
Y4 0.3259 0.0900 0.5000  2 Ru 2.95, 2 Ag 3.01-3.11, 1 Y 3.24
Y5 0.3556 0.7920 0.0000  1 Ru 2.68
Y6 0.5000 0.5000 0.0000  4 Ag 3.14, 2 Ru 3.48, 6 Y 3.51-3.52
Y7 0.6444 0.2080 0.0000  1 Ru 2.68
Y8 0.6741 0.9100 0.5000  2 Ru 2.95, 2 Ag 3.01-3.11, 1 Y 3.24
Y9 0.8259 0.4100 0.5000  2 Ru 2.95, 2 Ag 3.01-3.11, 1 Y 3.24
Y10 0.8556 0.7080 0.0000  1 Ru 2.68
Ag1 0.0908 0.8456 0.5000  7 Y 3.01-3.35
Ag2 0.4092 0.3456 0.5000  7 Y 3.01-3.35
Ag3 0.5908 0.6544 0.5000  7 Y 3.01-3.35
Ag4 0.9092 0.1544 0.5000  7 Y 3.01-3.35
Ru1 0.0000 0.5000 0.0000  6 Y 2.68-2.95
Ru2 0.5000 0.0000 0.0000  6 Y 2.68-2.95

## Properties
Fermi-level density of states, states/eV/atom: 0.921
Space group: Pbam (55)
Final energy, eV per formula unit: -49.53
Total magnetization, μB per cell: 0.000

***

Record 10
Below is a relaxed structure of YAg2Ru, with properties calculated at the GGA-PBE level.

abc: 4.2760 4.2760 8.3272
angles: 90.00 90.00 90.00
Closest atoms and distances in Å follow each position.
Atoms (fractional coordinates):
Y1 0.0000 0.0000 0.0000  4 Ru 2.98, 8 Ag 2.98-3.02
Y2 0.5000 0.5000 0.5000  4 Ru 2.98, 8 Ag 2.98-3.02
Ag1 0.0000 0.0000 0.5000  4 Ru 2.98, 4 Ag 2.98, 4 Y 3.02
Ag2 0.0000 0.5000 0.7500  4 Ag 2.98, 4 Y 2.98, 4 Ru 3.02
Ag3 0.5000 0.0000 0.2500  4 Y 2.98, 4 Ag 2.98, 4 Ru 3.02
Ag4 0.5000 0.5000 0.0000  4 Ru 2.98, 4 Ag 2.98, 4 Y 3.02
Ru1 0.0000 0.5000 0.2500  4 Y 2.98, 8 Ag 2.98-3.02
Ru2 0.5000 0.0000 0.7500  8 Ag 2.98-3.02, 4 Y 2.98

## Properties
Fermi-level density of states, states/eV/atom: 0.890
Space group: I-4m2 (119)
Polymorph energy (0 for the lowest one), meV/atom: 91
Total magnetization, μB per cell: 1.093

***

Record 11
Below is a relaxed structure of YAgRu2, with properties calculated at the GGA-PBE level.

abc: 3.0012 3.8535 6.2457
angles: 90.00 90.00 90.00
Closest atoms and distances in Å follow each position.
Atoms (fractional coordinates):
Y1 0.0000 0.0000 0.0000  5 Ru 2.78-2.99, 2 Y 3.00, 4 Ag 3.04
Ag1 0.5000 0.5000 0.2906  5 Ru 2.71-2.95, 2 Ag 3.00
Ru1 0.0000 0.0000 0.5545  4 Ru 2.66, 1 Y 2.78, 4 Ag 2.95
Ru2 0.5000 0.5000 0.7250  4 Ru 2.66, 1 Ag 2.71

## Properties
Fermi-level density of states, states/eV/atom: 0.658
Space group: Pmm2 (25)
Polymorph energy (0 for the lowest one), meV/atom: 0
Total magnetization, μB per cell: 0.000

***

Record 12
Below is a relaxed structure of Y6AgRu2, with properties calculated at the GGA-PBE level.

abc: 8.4655 8.4655 8.4655
angles: 112.50 111.60 104.43
Closest atoms and distances in Å follow each position.
Atoms (fractional coordinates):
Y1 0.0444 0.2418 0.8026  1 Ru 2.78
Y2 0.1811 0.2803 0.4614  3 Ru 2.96-2.98, 1 Ag 3.15
Y3 0.1811 0.7197 0.9008  3 Ru 2.96-2.98, 1 Ag 3.15
Y4 0.3287 0.0134 0.6847  3 Ru 2.74-3.00
Y5 0.3287 0.6439 0.3153  3 Ru 2.74-3.00
Y6 0.4393 0.2418 0.1974  1 Ru 2.78
Y7 0.5607 0.7582 0.8026  1 Ru 2.78
Y8 0.6713 0.3561 0.6847  3 Ru 2.74-3.00
Y9 0.6713 0.9866 0.3153  3 Ru 2.74-3.00
Y10 0.8189 0.2803 0.0992  3 Ru 2.96-2.98, 1 Ag 3.15
Y11 0.8189 0.7197 0.5386  3 Ru 2.96-2.98, 1 Ag 3.15
Y12 0.9556 0.7582 0.1974  1 Ru 2.78
Ag1 0.0000 0.0000 0.0000  2 Ru 3.07, 8 Y 3.13-3.15
Ag2 0.5000 0.5000 0.0000  8 Y 3.27-3.46
Ru1 0.1241 0.6241 0.5000  1 Ru 2.58, 2 Y 2.74
Ru2 0.3230 0.0000 0.3230  8 Y 2.78-3.00, 1 Ag 3.07
Ru3 0.6770 0.0000 0.6770  8 Y 2.78-3.00, 1 Ag 3.07
Ru4 0.8759 0.3759 0.5000  1 Ru 2.58, 2 Y 2.74

## Properties
Fermi-level density of states, states/eV/atom: 0.953
Space group: Immm (71)
Final energy, eV per formula unit: -62.87
Total magnetization, μB per cell: 0.000